The following is a DFT calculation (PBE-GGA) of a geometry-optimized CsCo3Br structure.

CIF file:
```
data_CsCo3Br
_chemical_formula_sum 'Cs1 Co3 Br1'
_space_group_name_H-M_alt 'P m -3 m'
_space_group_IT_number 221
_space_group_name_Hall '-P 4 2 3'
_cell_length_a 4.674
_cell_length_b 4.674
_cell_length_c 4.674
_cell_angle_alpha 90.00
_cell_angle_beta 90.00
_cell_angle_gamma 90.00
loop_
_atom_site_label
_atom_site_fract_x
_atom_site_fract_y
_atom_site_fract_z
_atom_site_occupancy
Cs1 0.000 0.000 0.000 1
Co1 0.000 0.500 0.500 1
Br1 0.500 0.500 0.500 1
```

Final energy: -3.431 eV per atom
Excess energy over the best structure of this formula in the dataset: 0.0 meV/atom
Raw formation energy: 6.7 eV per formula unit